# 1
## NiPRh2 (PBE-GGA)

Data for NiPRh2 after structural relaxation.

abc: 3.6370 2.8834 5.2157
angles: 75.77 90.00 90.00
With the nearest neighbours (Å) after each atom.
Positions (direct):
Ni 0.5000 0.5000 0.0000  2 P 2.61, 8 Rh 2.65-2.71, 2 Ni 2.88
P 0.5000 0.5000 0.5000  4 Rh 2.30
Rh 0.0000 0.1367 0.7364  2 P 2.30
Rh 0.0000 0.8633 0.2636  2 P 2.30

Output
N(E_F) (states/eV/f.u.): 5.969
E_form (meV per atom): -213
Calculated density (g cm⁻³): 9.25
Distance to the lowest polymorph of the same formula (eV/atom): 0.082



# 2
## OsPdNF2 (PBE-GGA)

Data for OsPdNF2 after structural relaxation.

abc: 4.2104 4.2104 3.7618
angles: 90.00 90.00 90.00
With the nearest neighbours (Å) after each atom.
Positions (direct):
N 0.0000 0.0000 0.5000  2 Os 1.88
Os 0.0000 0.0000 0.0000  2 N 1.88, 4 F 2.11
Pd 0.5000 0.5000 0.5000  8 F 2.82, 4 N 2.98
F 0.0000 0.5000 0.0000  2 Os 2.11
F 0.5000 0.0000 0.0000  2 Os 2.11

Output
N(E_F) (states/eV/f.u.): 5.967
Formation energy from raw total energies (kJ per mole of atoms): 2.5
Calculated density (g cm⁻³): 8.68
Distance to the lowest polymorph of the same formula (eV/atom): 0.000



# 3
## VCuPdRh (PBE-GGA)

Data for VCuPdRh after structural relaxation.

abc: 3.1269 3.1269 5.6781
angles: 90.00 90.00 90.00
With the nearest neighbours (Å) after each atom.
Positions (direct):
V 0.5000 0.5000 0.1226  4 Rh 2.56, 4 Pd 2.69, 1 Cu 2.74
Cu 0.5000 0.5000 0.6046  4 Pd 2.62, 4 Rh 2.65, 1 V 2.74
Pd 0.0000 0.0000 0.8522  4 Cu 2.62, 4 V 2.69, 2 Rh 2.82-2.86
Rh 0.0000 0.0000 0.3486  4 V 2.56, 4 Cu 2.65, 2 Pd 2.82-2.86

Output
N(E_F) (states/eV/f.u.): 3.685
E_form (meV per atom): -202
Calculated density (g cm⁻³): 9.69
Distance to the lowest polymorph of the same formula (eV/atom): 0.000



# 4
## Th3ZnIn (PBE-GGA)

Data for Th3ZnIn after structural relaxation.

abc: 4.7754 8.3088 8.9259
angles: 90.00 90.00 125.07
With the nearest neighbours (Å) after each atom.
Positions (direct):
Th 0.0191 0.7685 0.5460  3 Zn 3.25-3.26, 3 In 3.35-3.41, 3 Th 3.56-3.61
Th 0.9809 0.2315 0.4540  3 Zn 3.25-3.26, 3 In 3.35-3.41, 3 Th 3.56-3.61
Th 0.0191 0.7685 0.9540  3 Zn 3.25-3.26, 3 In 3.35-3.41, 3 Th 3.56-3.61
Th 0.9809 0.2315 0.0460  3 Zn 3.25-3.26, 3 In 3.35-3.41, 3 Th 3.56-3.61
Th 0.4766 0.2268 0.7500  2 Zn 3.03-3.04, 2 In 3.23
Th 0.5234 0.7732 0.2500  2 Zn 3.03-3.04, 2 In 3.23
Zn 0.7015 0.9509 0.7500  1 In 2.74, 2 Th 3.03-3.04
Zn 0.2985 0.0491 0.2500  1 In 2.74, 2 Th 3.03-3.04
In 0.2972 0.5475 0.7500  1 Zn 2.74
In 0.7028 0.4525 0.2500  1 Zn 2.74

Output
N(E_F) (states/eV/f.u.): 6.931
E_form (meV per atom): -94
Calculated density (g cm⁻³): 10.04



# 5
## PrSm3Ir (PBE-GGA)

Data for PrSm3Ir after structural relaxation.

abc: 5.5731 5.5731 5.5731
angles: 90.00 90.00 90.00
With the nearest neighbours (Å) after each atom.
Positions (direct):
Pr 0.5000 0.5000 0.5000  12 Sm 3.94
Ir 0.0000 0.0000 0.0000  6 Sm 2.79
Sm 0.0000 0.5000 0.0000  2 Ir 2.79
Sm 0.0000 0.0000 0.5000  2 Ir 2.79
Sm 0.5000 0.0000 0.0000  2 Ir 2.79

Output
N(E_F) (states/eV/f.u.): 8.020
E_form (meV per atom): -207
Calculated density (g cm⁻³): 7.52



# 6
## LiPuMnRu (PBE-GGA)

Data for LiPuMnRu after structural relaxation.

abc: 4.4218 4.4218 4.4218
angles: 60.00 60.00 60.00
With the nearest neighbours (Å) after each atom.
Positions (direct):
Ru 0.7500 0.7500 0.7500  4 Li 2.71, 4 Pu 2.71
Mn 0.2500 0.2500 0.2500  4 Li 2.71, 4 Pu 2.71
Li 0.5000 0.5000 0.5000  4 Ru 2.71, 4 Mn 2.71
Pu 0.0000 0.0000 0.0000  4 Mn 2.71, 4 Ru 2.71

Output
N(E_F) (states/eV/f.u.): 4.546
E_form (meV per atom): 31
Calculated density (g cm⁻³): 11.05



# 7
## KSbO3 (PBE-GGA)

Data for KSbO3 after structural relaxation.

abc: 5.0094 6.2308 6.8261
angles: 72.48 69.00 67.33
With the nearest neighbours (Å) after each atom.
Positions (direct):
K 0.0961 0.6835 0.0890  7 O 2.71-2.92
K 0.9039 0.3165 0.9110  7 O 2.71-2.92
Sb 0.7250 0.2390 0.5010  5 O 2.07-2.11
Sb 0.2750 0.7610 0.4990  5 O 2.07-2.11
O 0.4213 0.4567 0.7177  2 Sb 2.08-2.09
O 0.9291 0.9588 0.7142  2 Sb 2.07-2.09
O 0.9397 0.6225 0.5203  1 O 1.48
O 0.5787 0.5433 0.2823  2 Sb 2.08-2.09
O 0.0709 0.0412 0.2858  2 Sb 2.07-2.09
O 0.0603 0.3775 0.4797  1 O 1.48

Output
N(E_F) (states/eV/f.u.): 0.594
Formation energy from raw total energies (kJ per mole of atoms): -114.4
Calculated density (g cm⁻³): 3.85



# 8
## FeCo3Br (PBE-GGA)

Data for FeCo3Br after structural relaxation.

abc: 4.2800 4.2800 4.2800
angles: 90.00 90.00 90.00
With the nearest neighbours (Å) after each atom.
Positions (direct):
Co 0.0000 0.5000 0.0000  2 Br 2.14
Co 0.0000 0.0000 0.5000  2 Br 2.14
Co 0.5000 0.0000 0.0000  2 Br 2.14
Fe 0.5000 0.5000 0.5000  12 Co 3.03
Br 0.0000 0.0000 0.0000  6 Co 2.14

Output
N(E_F) (states/eV/f.u.): 8.102
Formation energy from raw total energies (kJ per mole of atoms): 126.2
Calculated density (g cm⁻³): 6.62
Distance to the lowest polymorph of the same formula (eV/atom): 0.100